(1)
This record from the Alexandria database describes an optimized crystal structure of LiGeSeCl. The functional is GGA-PBE.

M_tot: 0.00 μB/f.u.
Total DFT energy (no corrections): -3.923 eV per atom

Lattice parameters (Å, degrees): 6.6324 3.8330 8.1679 90.00 105.55 90.00
With the nearest neighbours (Å) after each atom.
Space group Cm (No. 8)
Asymmetric unit:
Li 0.0000 0.0000 0.0000 (multiplicity 2)  3 Cl 2.30
Ge 0.3448 0.5000 0.5369 (multiplicity 2)  3 Se 2.62
Se 0.1194 0.0000 0.3588 (multiplicity 2)  3 Ge 2.62, 1 Li 2.82
Cl 0.3065 0.0000 0.9179 (multiplicity 2)  3 Li 2.30



(2)
This record from the Alexandria database describes an optimized crystal structure of BaTc2Au. The functional is GGA-PBE.

Energy of formation: 0.916 eV per atom
M_tot: 0.00 μB/f.u.

Lattice parameters (Å, degrees): 2.9714 5.1537 10.9443 90.00 90.00 90.00
With the nearest neighbours (Å) after each atom.
Space group Immm (No. 71)
Asymmetric unit:
Ba 0.0000 0.0000 0.0000 (multiplicity 2)  2 Ba 2.97, 4 Au 2.97
Tc 0.0000 0.5000 0.2213 (multiplicity 4)  2 Au 2.84, 6 Tc 2.97-3.04
Au 0.0000 0.0000 0.5000 (multiplicity 2)  4 Tc 2.84, 2 Au 2.97, 4 Ba 2.97



(3)
This record from the Alexandria database describes an optimized crystal structure of AgWI2N. The functional is GGA-PBE.

M_tot: 1.23 μB/f.u.
Total DFT energy (no corrections): -5.020 eV per atom

Lattice parameters (Å, degrees): 5.6845 5.6845 3.8505 90.00 90.00 90.00
With the nearest neighbours (Å) after each atom.
Space group P4/mmm (No. 123)
Asymmetric unit:
Ag 0.0000 0.0000 0.0000 (multiplicity 1)  8 I 3.43
W 0.5000 0.5000 0.5000 (multiplicity 1)  2 N 1.93
I 0.0000 0.5000 0.5000 (multiplicity 2)  2 W 2.84
N 0.5000 0.5000 0.0000 (multiplicity 1)  2 W 1.93



(4)
This record from the Alexandria database describes an optimized crystal structure of SrTl15Hg4. The functional is GGA-PBE.

Energy of formation: -0.029 eV per atom
M_tot: 0.00 μB/f.u.

Lattice parameters (Å, degrees): 4.9466 4.9466 24.3367 90.00 90.00 90.00
With the nearest neighbours (Å) after each atom.
Space group P4/mmm (No. 123)
Asymmetric unit:
Sr 0.0000 0.0000 0.0000 (multiplicity 1)  12 Tl 3.50-3.56
Tl 0.0000 0.5000 0.1052 (multiplicity 4)  2 Hg 3.36, 8 Tl 3.40-3.56, 2 Sr 3.56
Tl 0.0000 0.5000 0.2999 (multiplicity 4)  8 Tl 3.45-3.50, 4 Hg 3.49
Tl 0.0000 0.5000 0.5000 (multiplicity 2)  4 Hg 3.45, 8 Tl 3.46-3.50
Tl 0.5000 0.5000 0.0000 (multiplicity 1)  4 Sr 3.50, 8 Tl 3.56
Tl 0.5000 0.5000 0.2011 (multiplicity 2)  8 Tl 3.40-3.45, 4 Hg 3.50
Tl 0.5000 0.5000 0.4009 (multiplicity 2)  8 Tl 3.46-3.49, 4 Hg 3.50
Hg 0.0000 0.0000 0.1987 (multiplicity 2)  12 Tl 3.36-3.50
Hg 0.0000 0.0000 0.4011 (multiplicity 2)  12 Tl 3.45-3.50



> What is the formula in the fourth record?

SrTl15Hg4



> Look up the M_tot of the third one.

1.23 μB/f.u.